This record from Alexandria describes a geometry-optimized ZrUCuSe6 structure. The functional is PBE.

Computed properties:
The calculation puts the magnetic moment at 0.00 μB per formula unit. As for the crystal system: trigonal. For the formation energy without anion corrections, the calculation gives -0.672 eV/atom.

```
9
Lattice="6.290 0.000 0.000 0.000 6.508 0.000 0.000 -3.254 5.636" Properties=species:S:1:pos:R:3 pbc="T T T"
Se 1.629 1.120 5.608
Se 1.629 1.043 1.862
Se 4.661 -1.043 1.862
Se 4.661 -1.120 5.608
Se 4.661 2.163 3.802
Se 1.629 -2.163 3.802
Cu 3.145 0.000 0.000
Zr 3.145 3.254 1.879
U 0.000 0.000 3.757
```

This record from Alexandria describes a geometry-optimized Na3SrB structure. The functional is PBE.

Computed properties:
The value obtained for the relative energy among the computed polymorphs is 0.0 meV per atom. The calculation puts the magnetic moment at 0.23 μB per formula unit. The formation energy comes out at 0.66 eV/atom. As for the crystal system: cubic.

```
5
Lattice="-2.303 -4.403 2.020 2.255 -2.954 -3.867 4.287 -0.811 3.119" Properties=species:S:1:pos:R:3 pbc="T T T"
Na 1.127 -1.477 -1.934
Na -1.151 -2.201 1.010
Na 2.144 -0.406 1.560
B 0.000 0.000 0.000
Sr 2.120 -4.084 0.636
```

This record from Alexandria describes a geometry-optimized Be2CrCuPb structure. The functional is PBE.

Computed properties:
The calculation puts the magnetic moment at 3.37 μB per formula unit. The formation energy comes out at 0.71 eV/atom. As for the crystal system: tetragonal.

```
5
Lattice="-3.715 -0.957 1.715 1.719 -4.184 1.388 1.236 1.713 3.633" Properties=species:S:1:pos:R:3 pbc="T T T"
Cu 0.000 0.000 0.000
Be 0.618 0.857 1.816
Be -1.858 -0.478 0.858
Pb -0.380 -1.714 3.368
Cr 0.859 -2.092 0.694
```

This record from Alexandria describes a geometry-optimized CsNaAg2 structure. The functional is PBE.

Computed properties:
The value obtained for the relative energy among the computed polymorphs is 0.0 meV per atom. The calculation puts the magnetic moment at 0.00 μB per formula unit. The formation energy comes out at 0.03 eV/atom. As for the crystal system: trigonal.

```
4
Lattice="-1.433 -3.527 3.441 3.490 -2.119 3.108 -0.372 2.863 6.605" Properties=species:S:1:pos:R:3 pbc="T T T"
Na 0.000 0.000 0.000
Ag 1.049 -1.124 10.763
Ag 0.636 -1.658 2.392
Cs 0.843 -1.391 6.577
```

This record from Alexandria describes a geometry-optimized Ba2Sr3Ag4 structure. The functional is PBE.

Computed properties:
The calculation puts the magnetic moment at 0.00 μB per formula unit. The formation energy comes out at -0.28 eV/atom. As for the crystal system: monoclinic.

```
18
Lattice="-5.218 3.245 6.224 -4.820 -5.425 -5.050 2.086 -6.764 5.275" Properties=species:S:1:pos:R:3 pbc="T T T"
Sr -4.586 -4.455 -1.357
Sr -1.083 -5.056 3.872
Sr -6.870 -3.887 2.578
Sr -5.019 -1.090 0.587
Sr -1.367 -6.094 0.113
Sr -3.366 -4.489 7.807
Ag -1.209 -8.288 2.862
Ag -0.364 -5.759 7.032
Ag -6.743 -0.656 3.588
Ag -3.589 -4.047 1.855
Ag -7.589 -3.184 -0.582
Ag -3.874 -1.212 7.863
Ag -4.364 -4.897 4.595
Ag -4.078 -7.731 -1.413
Ba -4.660 -7.555 2.139
Ba -0.993 -2.008 0.416
Ba -3.293 -1.388 4.311
Ba -6.960 -6.936 6.034
```

This record from Alexandria describes a geometry-optimized NaNiMo2S structure. The functional is PBE.

Computed properties:
The calculation puts the magnetic moment at 4.78 μB per formula unit. As for the crystal system: tetragonal. For the formation energy without anion corrections, the calculation gives 2.459 eV/atom.

```
5
Lattice="-4.679 0.139 -0.977 -0.330 -4.276 0.973 -0.919 1.109 4.560" Properties=species:S:1:pos:R:3 pbc="T T T"
Mo -0.460 0.554 2.280
Mo -2.339 0.069 -0.489
Ni -2.964 -1.514 2.278
S -0.165 -2.138 0.487
Na 0.000 0.000 0.000
```

This record from Alexandria describes a geometry-optimized Tm2ZnSn structure. The functional is PBE.

Computed properties:
The calculation puts the magnetic moment at 0.00 μB per formula unit. The formation energy comes out at -0.50 eV/atom. As for the crystal system: monoclinic.

```
8
Lattice="4.261 0.000 0.000 0.000 5.973 -0.018 0.000 -3.003 7.800" Properties=species:S:1:pos:R:3 pbc="T T T"
Zn 3.196 3.066 2.278
Zn 1.065 -0.096 5.504
Tm 3.196 -1.445 7.176
Tm 1.065 3.065 4.397
Tm 3.196 -0.095 3.385
Tm 1.065 4.415 0.606
Sn 1.065 1.376 1.644
Sn 3.196 1.594 6.138
```

This record from Alexandria describes a geometry-optimized Cd5Cu3 structure. The functional is PBE.

Computed properties:
The value obtained for the relative energy among the computed polymorphs is 37.5 meV per atom. The calculation puts the magnetic moment at 0.00 μB per formula unit. The formation energy comes out at 0.09 eV/atom. As for the crystal system: orthorhombic.

```
8
Lattice="-5.224 -1.792 1.614 3.602 -4.062 1.906 0.436 2.192 3.847" Properties=species:S:1:pos:R:3 pbc="T T T"
Cu 1.745 -2.432 3.761
Cu -2.931 -1.229 3.606
Cu -0.811 -2.927 1.760
Cd -2.612 -0.896 0.807
Cd -0.235 -0.539 2.907
Cd 0.000 0.000 0.000
Cd 1.801 -2.031 0.953
Cd -0.951 -3.122 4.460
```